The following is a PBE calculation of an optimized crystal structure of Tb2P6Pd21, from Alexandria via LeMat-Bulk.

## Properties
SG = Fm-3m
ρ = 10.02 g/cm³
Final energy = -5.840 eV/atom
Density of states at the Fermi level = 10.4 states/eV/f.u.
E_form = -0.64 eV/atom

abc: 8.6255 8.6255 8.6255
angles: 60.00 60.00 60.00
Sites, in units of the cell vectors:
Pd: 0.3450 0.0000 0.6550
Pd: 0.6550 0.0000 0.0000
Pd: 0.6550 0.0000 0.3450
Pd: 0.6149 0.6149 0.1554
Pd: 0.8446 0.3851 0.3851
Pd: 0.0000 0.3450 0.0000
Pd: 0.6149 0.1554 0.6149
Pd: 0.6550 0.3450 0.0000
Pd: 0.0000 0.3450 0.6550
Pd: 0.6149 0.6149 0.6149
Pd: 0.3851 0.8446 0.3851
Pd: 0.3851 0.3851 0.8446
Pd: 0.0000 0.0000 0.6550
Pd: 0.0000 0.6550 0.3450
Pd: 0.0000 0.0000 0.0000
Pd: 0.1554 0.6149 0.6149
Pd: 0.0000 0.6550 0.0000
Pd: 0.0000 0.0000 0.3450
Pd: 0.3450 0.0000 0.0000
Pd: 0.3851 0.3851 0.3851
Pd: 0.3450 0.6550 0.0000
Tb: 0.7500 0.7500 0.7500
Tb: 0.2500 0.2500 0.2500
P: 0.2604 0.7396 0.7396
P: 0.7396 0.7396 0.2604
P: 0.2604 0.7396 0.2604
P: 0.2604 0.2604 0.7396
P: 0.7396 0.2604 0.7396
P: 0.7396 0.2604 0.2604